First-principles (PBE-GGA) data for a relaxed structure of AcSbAu, as listed in Alexandria via LeMat-Bulk.

POSCAR file:
```
AcSbAu
1.0
-2.899 0.557 4.174
-3.822 -3.271 0.913
0.371 -3.358 3.837
Ac Au Sb
1 1 1
direct
0.500 0.500 0.500
0.250 0.250 0.250
0.000 0.000 0.000
```

## Properties
Calculated density in Mg/m³: 9.59
Uncorrected formation energy in eV per atom: -0.79
DFT total energy in eV/atom: -4.631
Total moment in μB per atom: 0.000